Here is an optimized crystal structure of Zr2AgPb from Alexandria via LeMat-Bulk. Energies are from GGA-PBE.

ρ   9382 kg/m³
Calculated volume   22.0 Å³ per atom
Space group   Pm, No. 6

Cell: 5.176 3.206 5.308 Å, 88.88 90.00 90.00°
Atoms (fractional coordinates):
1 Pb 0.500 0.632 0.806
2 Ag 0.000 0.615 0.439
3 Zr 0.000 0.103 0.947
4 Zr 0.500 0.150 0.308

---

Here is an optimized crystal structure of MgGaCl5 from Alexandria via LeMat-Bulk. Energies are from GGA-PBE.

ρ   2292 kg/m³
Formation energy without anion corrections   -133.2 kJ per mole of atoms
Calculated volume   28.1 Å³ per atom
Space group   C2/c, No. 15

Cell: 6.943 6.944 9.266 Å, 109.54 109.54 90.42°
Atoms (fractional coordinates):
1 Cl 0.433 0.067 0.250
2 Cl 0.567 0.933 0.750
3 Cl 0.226 0.251 0.542
4 Cl 0.827 0.279 0.156
5 Cl 0.778 0.327 0.656
6 Cl 0.774 0.749 0.458
7 Cl 0.249 0.273 0.958
8 Cl 0.222 0.673 0.344
9 Cl 0.751 0.727 0.042
10 Cl 0.173 0.721 0.844
11 Ga 0.120 0.380 0.750
12 Ga 0.880 0.620 0.250
13 Mg 0.500 0.000 0.500
14 Mg 0.500 0.000 0.000

---

Calculated values (eV per atom) of uncorrected energy for the records, taken in order: -5.962; -3.360.